Computed, not measured: a relaxed structure of LiTh2In2 at the PBE-GGA level of DFT.

Formation energy from the elements = -212 meV per atom
Calculated total energy = -4.658 eV/atom
Calculated volume = 26.94 A^3/atom

Geometry as CIF:
```
data_LiTh2In2
_symmetry_space_group_name_H-M 'C 1 2/m 1'
_symmetry_Int_Tables_number 12
_cell_length_a 11.245
_cell_length_b 4.837
_cell_length_c 11.069
_cell_angle_alpha 90.00
_cell_angle_beta 116.51
_cell_angle_gamma 90.00
loop_
_symmetry_equiv_pos_as_xyz
'x,y,z'
'-x,-y,-z'
'-x,y,-z'
'x,-y,z'
'x+1/2,y+1/2,z'
'-x+1/2,-y+1/2,-z'
'-x+1/2,y+1/2,-z'
'x+1/2,-y+1/2,z'
loop_
_atom_site_label
_atom_site_fract_x
_atom_site_fract_y
_atom_site_fract_z
Li1 0.230 0.000 0.358
Th1 0.017 0.500 0.333
Th2 0.178 0.500 0.083
In1 0.008 0.000 0.870
In2 0.146 0.000 0.576
```



Computed, not measured: a relaxed structure of NaSm2Pa at the PBE-GGA level of DFT.

Formation energy from the elements = 214 meV per atom
Calculated total energy = -4.849 eV/atom
Calculated volume = 32.09 A^3/atom

Geometry as CIF:
```
data_NaSm2Pa
_symmetry_space_group_name_H-M 'R -3 m'
_symmetry_Int_Tables_number 166
_symmetry_space_group_name_Hall '-R 3 2"'
_cell_length_a 3.4396
_cell_length_b 3.4396
_cell_length_c 37.5865
_cell_angle_alpha 90.00
_cell_angle_beta 90.00
_cell_angle_gamma 120.00
loop_
_atom_site_label
_atom_site_fract_x
_atom_site_fract_y
_atom_site_fract_z
Na1 0.0000 0.0000 0.0000
Sm1 0.0000 0.0000 0.0935
Pa1 0.0000 0.0000 0.5000
```



Computed, not measured: a relaxed structure of ScAlSb2 at the PBE-GGA level of DFT.

Formation energy (no corrections) = -260 meV per atom
Calculated total energy = -4.840 eV/atom
Polymorph energy (0 for the lowest one) = 155 meV/atom
Calculated volume = 22.92 A^3/atom

Geometry as CIF:
```
data_ScAlSb2
_symmetry_space_group_name_H-M 'P m m m'
_symmetry_Int_Tables_number 47
_cell_length_a 3.894
_cell_length_b 4.586
_cell_length_c 5.134
_cell_angle_alpha 90.00
_cell_angle_beta 90.00
_cell_angle_gamma 90.00
loop_
_symmetry_equiv_pos_as_xyz
'x,y,z'
'-x,-y,-z'
'-x,-y,z'
'x,y,-z'
'x,-y,-z'
'-x,y,z'
'-x,y,-z'
'x,-y,z'
loop_
_atom_site_label
_atom_site_fract_x
_atom_site_fract_y
_atom_site_fract_z
Sc1 0.000 0.000 0.000
Al1 0.000 0.500 0.500
Sb1 0.500 0.000 0.500
Sb2 0.500 0.500 0.000
```



Computed, not measured: a relaxed structure of BaSn3N at the PBE-GGA level of DFT.

Formation energy (no corrections) = 1908 meV per atom
Calculated total energy = -2.543 eV/atom
Polymorph energy (0 for the lowest one) = 1693 meV/atom
Calculated volume = 52.80 A^3/atom

Geometry as CIF:
```
data_BaSn3N
_symmetry_space_group_name_H-M 'P m -3 m'
_symmetry_Int_Tables_number 221
_symmetry_space_group_name_Hall '-P 4 2 3'
_cell_length_a 6.415
_cell_length_b 6.415
_cell_length_c 6.415
_cell_angle_alpha 90.00
_cell_angle_beta 90.00
_cell_angle_gamma 90.00
loop_
_atom_site_label
_atom_site_fract_x
_atom_site_fract_y
_atom_site_fract_z
Ba1 0.000 0.000 0.000
Sn1 0.000 0.000 0.500
N1 0.500 0.500 0.500
```



Computed, not measured: a relaxed structure of BaMgIn2Cl at the PBE-GGA level of DFT.

Formation energy (no corrections) = -300 meV per atom
Calculated total energy = -2.468 eV/atom
Calculated volume = 40.52 A^3/atom

Geometry as CIF:
```
data_BaMgIn2Cl
_symmetry_space_group_name_H-M 'P 4/m m m'
_symmetry_Int_Tables_number 123
_symmetry_space_group_name_Hall '-P 4 2'
_cell_length_a 5.270
_cell_length_b 5.270
_cell_length_c 7.293
_cell_angle_alpha 90.00
_cell_angle_beta 90.00
_cell_angle_gamma 90.00
loop_
_atom_site_label
_atom_site_fract_x
_atom_site_fract_y
_atom_site_fract_z
Ba1 0.000 0.000 0.000
Mg1 0.000 0.000 0.500
In1 0.000 0.500 0.500
Cl1 0.500 0.500 0.000
```



Computed, not measured: a relaxed structure of Li4Ac2SnGe3 at the PBE-GGA level of DFT.

Formation energy from the elements = -524 meV per atom
Calculated total energy = -3.897 eV/atom
Calculated volume = 21.87 A^3/atom

Geometry as CIF:
```
data_Li4Ac2SnGe3
_symmetry_space_group_name_H-M 'P -4 m 2'
_symmetry_Int_Tables_number 115
_cell_length_a 4.500
_cell_length_b 4.500
_cell_length_c 10.798
_cell_angle_alpha 90.00
_cell_angle_beta 90.00
_cell_angle_gamma 90.00
loop_
_symmetry_equiv_pos_as_xyz
'x,y,z'
'y,-x,-z'
'-x,-y,z'
'-y,x,-z'
'-x,y,z'
'-y,-x,-z'
'x,-y,z'
'y,x,-z'
loop_
_atom_site_label
_atom_site_fract_x
_atom_site_fract_y
_atom_site_fract_z
Li1 0.000 0.000 0.000
Li2 0.000 0.500 0.359
Li3 0.500 0.500 0.000
Ac1 0.000 0.500 0.764
Sn1 0.500 0.500 0.500
Ge1 0.000 0.000 0.500
Ge2 0.000 0.500 0.124
```



Computed, not measured: a relaxed structure of Ca2AlSb at the PBE-GGA level of DFT.

Formation energy (no corrections) = -293 meV per atom
Calculated total energy = -3.260 eV/atom
Polymorph energy (0 for the lowest one) = 225 meV/atom
Calculated volume = 29.51 A^3/atom

Geometry as CIF:
```
data_Ca2AlSb
_symmetry_space_group_name_H-M 'R -3 m'
_symmetry_Int_Tables_number 166
_symmetry_space_group_name_Hall '-R 3 2"'
_cell_length_a 3.7711
_cell_length_b 3.7711
_cell_length_c 28.7547
_cell_angle_alpha 90.00
_cell_angle_beta 90.00
_cell_angle_gamma 120.00
loop_
_atom_site_label
_atom_site_fract_x
_atom_site_fract_y
_atom_site_fract_z
Ca1 0.0000 0.0000 0.2493
Al1 0.0000 0.0000 0.5000
Sb1 0.0000 0.0000 0.0000
```



Computed, not measured: a relaxed structure of NaCrCd2Au at the PBE-GGA level of DFT.

Formation energy from the elements = 367 meV per atom
Calculated total energy = -2.843 eV/atom
Calculated volume = 28.74 A^3/atom

Geometry as CIF:
```
data_NaCrCd2Au
_symmetry_space_group_name_H-M 'P 4/m m m'
_symmetry_Int_Tables_number 123
_symmetry_space_group_name_Hall '-P 4 2'
_cell_length_a 5.289
_cell_length_b 5.289
_cell_length_c 5.138
_cell_angle_alpha 90.00
_cell_angle_beta 90.00
_cell_angle_gamma 90.00
loop_
_atom_site_label
_atom_site_fract_x
_atom_site_fract_y
_atom_site_fract_z
Na1 0.000 0.000 0.000
Cr1 0.500 0.500 0.500
Cd1 0.000 0.500 0.500
Au1 0.500 0.500 0.000
```